# Co2CuTcH

A geometry-optimized Co2CuTcH structure (PBE, Alexandria).

Structure (POSCAR):
```
Co2CuTcH
1.0
3.6920 0.0000 0.0000
0.0000 3.6920 0.0000
0.0000 0.0000 3.7790
H Co Tc Cu
1 2 1 1
Cartesian
0.0000 0.0000 0.0000
0.0000 1.8460 0.0000
1.8460 0.0000 0.0000
0.0000 0.0000 1.8895
1.8460 1.8460 1.8895
```

Its crystal system is tetragonal. The energy relative to the lowest polymorph listed for this composition is 0 meV per atom.

---

# Co2CuTcH

A geometry-optimized Co2CuTcH structure (PBE, Alexandria).

Structure (POSCAR):
```
Co2CuTcH
1.0
3.7279 0.0000 0.0000
0.0000 3.7279 0.0000
0.0000 0.0000 3.6393
H Co Tc Cu
1 2 1 1
Cartesian
0.0000 0.0000 0.0000
0.0000 1.8639 0.0000
1.8639 0.0000 0.0000
1.8639 1.8639 1.8196
0.0000 0.0000 1.8196
```

Its crystal system is tetragonal. The energy relative to the lowest polymorph listed for this composition is 68 meV per atom.

---

# ThCo2CuH8

A geometry-optimized ThCo2CuH8 structure (PBE, Alexandria).

Structure (POSCAR):
```
ThCo2CuH8
1.0
-2.2357 -3.4849 -1.9724
2.7891 -0.7838 3.5553
-4.8713 0.8555 4.0100
Th Co Cu H
1 2 1 8
Cartesian
-2.4356 0.4277 2.0050
-2.7586 -1.0040 4.9008
-1.5593 -2.4092 0.6921
0.0000 0.0000 0.0000
-3.4681 -0.0214 3.9689
-1.8604 -0.4732 6.0183
-3.1491 -2.4821 4.8813
-1.1688 -0.9312 0.7116
-2.7503 -2.2000 1.6726
-1.5676 -1.2132 3.9204
-0.8498 -3.3918 1.6241
-2.4575 -2.9400 -0.4254
```

Its total energy is -4.313 eV/atom. Its crystal system is trigonal.

---

# ThCoCuH6

A geometry-optimized ThCoCuH6 structure (PBE, Alexandria).

Structure (POSCAR):
```
ThCoCuH6
1.0
-2.7867 0.0110 3.4523
0.4120 -3.0525 3.1933
2.6606 2.5972 2.1394
Th Co Cu H
1 1 1 6
Cartesian
-0.1260 2.6082 5.5916
0.5388 0.2847 3.2848
-0.2528 -0.7291 5.5000
0.8027 -0.8577 2.1590
0.6476 1.9045 3.3676
0.8419 0.4667 4.8714
2.1542 0.4618 3.2453
-0.5098 -0.8522 3.7847
-0.7036 0.5852 2.2807
```

Its total energy is -4.594 eV/atom. Its crystal system is hexagonal.

---

| no. | total magnetic moment (μB/f.u.) |
| --- | --- |
| 1 | 4.3 |
| 2 | 3.8 |
| 3 | 0.0 |
| 4 | 0.0 |